(1)
Tb3Ag2Au PBE optimized geometry; total magnetization = 0.000 μB/f.u.; calculated volume = 24.10 Å³/atom; formation enthalpy at 0 K = -0.502 eV/atom; DOS(E_F) = 2.74 states/eV/cell; raw total energy = -25.9 eV for the cell shown; energy relative to the lowest polymorph listed for this composition = 0 meV per atom
1.0
5.142 0.000 0.000
-2.571 4.453 0.000
0.000 0.000 6.314
Ag Tb Au
2 3 1
Direct
0.667 0.333 0.348
0.333 0.667 0.652
0.000 0.000 0.500
0.667 0.333 0.841
0.333 0.667 0.159
0.000 0.000 0.000

=====

(2)
CuNiPd2Pt PBE optimized geometry; total magnetization = 1.330 μB/f.u.; calculated volume = 15.50 Å³/atom; formation enthalpy at 0 K = 0.354 eV/atom; DOS(E_F) = 7.59 states/eV/cell; raw total energy = -24.5 eV for the cell shown
1.0
3.653 0.000 0.000
0.000 3.653 0.000
-1.826 -1.826 5.806
Ni Pt Cu Pd
1 1 1 2
Direct
0.909 0.909 0.818
0.472 0.472 0.943
0.102 0.102 0.204
0.259 0.759 0.518
0.759 0.259 0.518

=====

Which value of raw total energy does entry 2 give? -24.5 eV for the cell shown

=====

calculated volume of number 2 (CuNiPd2Pt)? 15.50 Å³/atom